w:
Entry from Alexandria: a relaxed RbSc3Se crystal (PBE-GGA). Values from VASP.

```
&SYSTEM
  ibrav = 0, nat = 5, ntyp = 3
/
ATOMIC_SPECIES
Rb 85.47 Rb.upf
Sc 44.96 Sc.upf
Se 78.96 Se.upf
ATOMIC_POSITIONS crystal
Rb 0.0000 0.0000 0.0000
Sc 0.0000 0.0000 0.5000
Sc 0.0000 0.5000 0.0000
Sc 0.5000 0.0000 0.0000
Se 0.5000 0.5000 0.5000
CELL_PARAMETERS angstrom
5.1001 0.0000 0.0000
0.0000 5.1001 0.0000
0.0000 0.0000 5.1001
```

Computed properties:
**Space group**: Pm-3m (221)
**N(E_F)**: 1.316 states/eV per atom
**Total magnetic moment**: 0.000 μB per formula unit

***

x:
Entry from Alexandria: a relaxed RbSc3Se crystal (PBE-GGA). Values from VASP.

```
&SYSTEM
  ibrav = 0, nat = 5, ntyp = 3
/
ATOMIC_SPECIES
Rb 85.47 Rb.upf
Sc 44.96 Sc.upf
Se 78.96 Se.upf
ATOMIC_POSITIONS crystal
Rb 0.0000 0.0000 0.0000
Sc 0.0000 0.5000 0.5000
Sc 0.5000 0.0000 0.5000
Sc 0.5000 0.5000 0.0000
Se 0.5000 0.5000 0.5000
CELL_PARAMETERS angstrom
5.3381 0.0000 0.0000
0.0000 5.3381 0.0000
0.0000 0.0000 5.3381
```

Computed properties:
**Space group**: Pm-3m (221)
**N(E_F)**: 1.353 states/eV per atom
**Total magnetic moment**: 3.484 μB per formula unit

***

x is preferred energetically. Next in line: 1408 meV per atom higher.

***

w:
Entry from Alexandria: a relaxed Rb3ScSe3 crystal (PBE-GGA). Values from VASP.

```
&SYSTEM
  ibrav = 0, nat = 28, ntyp = 3
/
ATOMIC_SPECIES
Rb 85.47 Rb.upf
Sc 44.96 Sc.upf
Se 78.96 Se.upf
ATOMIC_POSITIONS crystal
Rb 0.1175 0.1214 0.4733
Rb 0.1175 0.3786 0.9733
Rb 0.1712 0.1072 0.8919
Rb 0.1712 0.3928 0.3919
Rb 0.3366 0.6798 0.5515
Rb 0.3366 0.8202 0.0515
Rb 0.6634 0.1798 0.9485
Rb 0.6634 0.3202 0.4485
Rb 0.8288 0.6072 0.6081
Rb 0.8288 0.8928 0.1081
Rb 0.8825 0.6214 0.0267
Rb 0.8825 0.8786 0.5267
Sc 0.4460 0.0646 0.3408
Sc 0.4460 0.4354 0.8408
Sc 0.5540 0.5646 0.1592
Sc 0.5540 0.9354 0.6592
Se 0.1798 0.1903 0.2004
Se 0.1798 0.3097 0.7004
Se 0.3304 0.6002 0.8654
Se 0.3304 0.8998 0.3654
Se 0.3662 0.5463 0.2682
Se 0.3662 0.9537 0.7682
Se 0.6338 0.0463 0.2318
Se 0.6338 0.4537 0.7318
Se 0.6696 0.1002 0.6346
Se 0.6696 0.3998 0.1346
Se 0.8202 0.6903 0.2996
Se 0.8202 0.8097 0.7996
CELL_PARAMETERS angstrom
8.5613 0.0000 0.0000
0.0000 14.2304 0.0000
-6.6606 0.0000 8.7406
```

Computed properties:
**Space group**: P2_1/c (14)
**N(E_F)**: 0.000 states/eV per atom
**Total magnetic moment**: 0.000 μB per formula unit

***

x:
Entry from Alexandria: a relaxed Rb3ScSe3 crystal (PBE-GGA). Values from VASP.

```
&SYSTEM
  ibrav = 0, nat = 14, ntyp = 3
/
ATOMIC_SPECIES
Rb 85.47 Rb.upf
Sc 44.96 Sc.upf
Se 78.96 Se.upf
ATOMIC_POSITIONS crystal
Rb 0.1795 0.8205 0.0000
Rb 0.2508 0.7492 0.5000
Rb 0.3859 0.3859 0.1409
Rb 0.6141 0.6141 0.8591
Rb 0.7492 0.2508 0.5000
Rb 0.8205 0.1795 0.0000
Sc 0.1709 0.1709 0.6444
Sc 0.8291 0.8291 0.3556
Se 0.1016 0.1016 0.3222
Se 0.1558 0.4456 0.7734
Se 0.4456 0.1558 0.7734
Se 0.5544 0.8442 0.2266
Se 0.8442 0.5544 0.2266
Se 0.8984 0.8984 0.6778
CELL_PARAMETERS angstrom
4.6680 -7.1617 0.0000
4.6680 7.1617 0.0000
-1.6817 0.0000 8.1693
```

Computed properties:
**Space group**: C2/m (12)
**N(E_F)**: 0.000 states/eV per atom
**Total magnetic moment**: 0.000 μB per formula unit

***

x is preferred energetically. Next in line: 8 meV per atom higher.

***

w:
Entry from Alexandria: a relaxed RbScSi2 crystal (PBE-GGA). Values from VASP.

```
&SYSTEM
  ibrav = 0, nat = 8, ntyp = 3
/
ATOMIC_SPECIES
Rb 85.47 Rb.upf
Sc 44.96 Sc.upf
Si 28.09 Si.upf
ATOMIC_POSITIONS crystal
Rb 0.0000 0.0000 0.0000
Rb 0.7500 0.2500 0.5000
Sc 0.2500 0.7500 0.5000
Sc 0.5000 0.5000 0.0000
Si 0.3739 0.1250 0.7489
Si 0.3750 0.6261 0.7511
Si 0.3761 0.6250 0.2511
Si 0.8750 0.6239 0.2489
CELL_PARAMETERS angstrom
-2.6693 2.6693 9.2033
2.6693 -2.6693 9.2033
2.6693 2.6693 -9.2033
```

Computed properties:
**Space group**: I-42d (122)
**N(E_F)**: 0.693 states/eV per atom
**Total magnetic moment**: 0.000 μB per formula unit

***

x:
Entry from Alexandria: a relaxed RbScSi2 crystal (PBE-GGA). Values from VASP.

```
&SYSTEM
  ibrav = 0, nat = 4, ntyp = 3
/
ATOMIC_SPECIES
Rb 85.47 Rb.upf
Sc 44.96 Sc.upf
Si 28.09 Si.upf
ATOMIC_POSITIONS crystal
Rb 0.0000 0.0000 0.0000
Sc 0.5000 0.5000 0.5000
Si 0.2500 0.2500 0.2500
Si 0.7500 0.7500 0.7500
CELL_PARAMETERS angstrom
0.0000 3.6078 3.6078
3.6078 0.0000 3.6078
3.6078 3.6078 0.0000
```

Computed properties:
**Space group**: Fm-3m (225)
**N(E_F)**: 0.670 states/eV per atom
**Total magnetic moment**: 0.000 μB per formula unit

***

w is preferred energetically. Next in line: 209 meV per atom higher.

***

w:
Entry from Alexandria: a relaxed RbSr2Sc crystal (PBE-GGA). Values from VASP.

```
&SYSTEM
  ibrav = 0, nat = 8, ntyp = 3
/
ATOMIC_SPECIES
Rb 85.47 Rb.upf
Sr 87.62 Sr.upf
Sc 44.96 Sc.upf
ATOMIC_POSITIONS crystal
Rb 0.0000 0.0000 0.0000
Rb 0.7500 0.2500 0.5000
Sr 0.1400 0.6250 0.0150
Sr 0.3750 0.3900 0.5150
Sr 0.6100 0.1250 0.9850
Sr 0.8750 0.8600 0.4850
Sc 0.2500 0.7500 0.5000
Sc 0.5000 0.5000 0.0000
CELL_PARAMETERS angstrom
-2.7613 2.7613 13.5553
2.7613 -2.7613 13.5553
2.7613 2.7613 -13.5553
```

Computed properties:
**Space group**: I-42d (122)
**N(E_F)**: 1.228 states/eV per atom
**Total magnetic moment**: 1.983 μB per formula unit

***

x:
Entry from Alexandria: a relaxed RbSr2Sc crystal (PBE-GGA). Values from VASP.

```
&SYSTEM
  ibrav = 0, nat = 4, ntyp = 3
/
ATOMIC_SPECIES
Rb 85.47 Rb.upf
Sr 87.62 Sr.upf
Sc 44.96 Sc.upf
ATOMIC_POSITIONS crystal
Rb 0.0000 0.0000 0.0000
Sr 0.2500 0.2500 0.2500
Sr 0.7500 0.7500 0.7500
Sc 0.5000 0.5000 0.5000
CELL_PARAMETERS angstrom
0.0000 4.5520 4.5520
4.5520 0.0000 4.5520
4.5520 4.5520 0.0000
```

Computed properties:
**Space group**: Fm-3m (225)
**N(E_F)**: 1.531 states/eV per atom
**Total magnetic moment**: 0.001 μB per formula unit

***

x is preferred energetically. Next in line: 259 meV per atom higher.

***

w:
Entry from Alexandria: a relaxed RbSc2Ta crystal (PBE-GGA). Values from VASP.

```
&SYSTEM
  ibrav = 0, nat = 4, ntyp = 3
/
ATOMIC_SPECIES
Rb 85.47 Rb.upf
Sc 44.96 Sc.upf
Ta 180.95 Ta.upf
ATOMIC_POSITIONS crystal
Rb 0.0000 0.0000 0.0000
Sc 0.0997 0.0997 0.0997
Sc 0.9003 0.9003 0.9003
Ta 0.5000 0.5000 0.5000
CELL_PARAMETERS angstrom
1.6188 0.9346 11.6716
-1.6188 0.9346 11.6716
0.0000 -1.8692 11.6716
```

Computed properties:
**Space group**: R-3m (166)
**N(E_F)**: 1.138 states/eV per atom
**Total magnetic moment**: 0.000 μB per formula unit

***

x:
Entry from Alexandria: a relaxed RbSc2Ta crystal (PBE-GGA). Values from VASP.

```
&SYSTEM
  ibrav = 0, nat = 4, ntyp = 3
/
ATOMIC_SPECIES
Rb 85.47 Rb.upf
Sc 44.96 Sc.upf
Ta 180.95 Ta.upf
ATOMIC_POSITIONS crystal
Rb 0.0000 0.0000 0.0000
Sc 0.2500 0.2500 0.2500
Sc 0.7500 0.7500 0.7500
Ta 0.5000 0.5000 0.5000
CELL_PARAMETERS angstrom
0.0000 3.7074 3.7074
3.7074 0.0000 3.7074
3.7074 3.7074 0.0000
```

Computed properties:
**Space group**: Fm-3m (225)
**N(E_F)**: 1.871 states/eV per atom
**Total magnetic moment**: 0.001 μB per formula unit

***

w is preferred energetically. Next in line: 593 meV per atom higher.

***

w:
Entry from Alexandria: a relaxed RbScTa2 crystal (PBE-GGA). Values from VASP.

```
&SYSTEM
  ibrav = 0, nat = 4, ntyp = 3
/
ATOMIC_SPECIES
Rb 85.47 Rb.upf
Sc 44.96 Sc.upf
Ta 180.95 Ta.upf
ATOMIC_POSITIONS crystal
Rb 0.0000 0.0000 0.0000
Sc 0.5000 0.5000 0.5000
Ta 0.2500 0.2500 0.2500
Ta 0.7500 0.7500 0.7500
CELL_PARAMETERS angstrom
0.0000 3.6284 3.6284
3.6284 0.0000 3.6284
3.6284 3.6284 0.0000
```

Computed properties:
**Space group**: Fm-3m (225)
**N(E_F)**: 1.160 states/eV per atom
**Total magnetic moment**: 3.770 μB per formula unit

***

x:
Entry from Alexandria: a relaxed RbScTa2 crystal (PBE-GGA). Values from VASP.

```
&SYSTEM
  ibrav = 0, nat = 8, ntyp = 3
/
ATOMIC_SPECIES
Rb 85.47 Rb.upf
Sc 44.96 Sc.upf
Ta 180.95 Ta.upf
ATOMIC_POSITIONS crystal
Rb 0.0000 0.0000 0.0000
Rb 0.7500 0.2500 0.5000
Sc 0.2500 0.7500 0.5000
Sc 0.5000 0.5000 0.0000
Ta 0.1473 0.1250 0.5223
Ta 0.3750 0.8527 0.9777
Ta 0.6027 0.6250 0.4777
Ta 0.8750 0.3973 0.0223
CELL_PARAMETERS angstrom
-2.0750 2.0750 10.9851
2.0750 -2.0750 10.9851
2.0750 2.0750 -10.9851
```

Computed properties:
**Space group**: I-42d (122)
**N(E_F)**: 1.071 states/eV per atom
**Total magnetic moment**: 0.000 μB per formula unit

***

x is preferred energetically. Next in line: 260 meV per atom higher.